Ho2Er8Tm3: optimized geometry, PBE.

Energy of formation = 242 meV per atom

Geometry as POSCAR:
```
Ho2Er8Tm3
1.0
3.741 -10.041 0.000
3.741 10.041 0.000
0.000 0.000 5.510
Ho Er Tm
2 8 3
Cartesian
3.741 5.192 0.000
3.741 -5.192 0.000
3.741 7.379 2.755
2.148 2.174 0.000
3.741 3.331 2.755
2.148 -2.174 0.000
5.335 2.174 0.000
3.741 -3.331 2.755
5.335 -2.174 0.000
3.741 -7.379 2.755
0.000 0.000 0.000
2.116 0.000 2.755
5.366 0.000 2.755
```